{"formula": "Hf2GaP", "functional": "meta-GGA SCAN", "state": "single point on PBEsol structure", "energy_ev_per_atom": -38.455, "cell": [[6.4837, 0.0000, 0.0000], [0.0000, 6.4837, 0.0000], [0.0000, 0.0000, 6.4837]], "species": ["Hf", "Hf", "Hf", "Hf", "Hf", "Hf", "Hf", "Hf", "Ga", "Ga", "Ga", "Ga", "P", "P", "P", "P"], "frac_coords": [[0.2500, 0.2500, 0.2500], [0.2500, 0.2500, 0.7500], [0.2500, 0.7500, 0.2500], [0.2500, 0.7500, 0.7500], [0.7500, 0.2500, 0.2500], [0.7500, 0.2500, 0.7500], [0.7500, 0.7500, 0.2500], [0.7500, 0.7500, 0.7500], [0.0000, 0.0000, 0.0000], [0.0000, 0.5000, 0.5000], [0.5000, 0.0000, 0.5000], [0.5000, 0.5000, 0.0000], [0.0000, 0.0000, 0.5000], [0.0000, 0.5000, 0.0000], [0.5000, 0.0000, 0.0000], [0.5000, 0.5000, 0.5000]]}

---

{"formula": "Nb2TeAs2", "functional": "meta-GGA SCAN", "state": "single point on PBEsol structure", "e_form_raw_ev_per_atom": -0.136, "cell": [[3.7312, 0.0000, 0.0000], [0.0000, 3.7312, 0.0000], [0.0000, 0.0000, 13.6592]], "species": ["Nb", "Nb", "Nb", "Nb", "Te", "Te", "As", "As", "As", "As"], "frac_coords": [[0.0000, 0.0000, 0.1120], [0.0000, 0.0000, 0.8880], [0.5000, 0.5000, 0.3880], [0.5000, 0.5000, 0.6120], [0.0000, 0.0000, 0.5000], [0.5000, 0.5000, 0.0000], [0.0000, 0.5000, 0.2500], [0.0000, 0.5000, 0.7500], [0.5000, 0.0000, 0.2500], [0.5000, 0.0000, 0.7500]]}

---

{"formula": "YH2I", "functional": "meta-GGA SCAN", "state": "single point on PBEsol structure", "energy_ev_per_atom": -18.596, "cell": [[4.6603, 0.0000, 0.0000], [0.0000, 4.6603, 0.0000], [0.0000, 0.0000, 13.1751]], "species": ["Y", "Y", "Y", "Y", "H", "H", "H", "H", "H", "H", "H", "H", "I", "I", "I", "I"], "frac_coords": [[0.0000, 0.2500, 0.3750], [0.0000, 0.7500, 0.6250], [0.5000, 0.2500, 0.1250], [0.5000, 0.7500, 0.8750], [0.0000, 0.0000, 0.5000], [0.0000, 0.5000, 0.5000], [0.2500, 0.2500, 0.2500], [0.2500, 0.7500, 0.7500], [0.5000, 0.0000, 0.0000], [0.5000, 0.5000, 0.0000], [0.7500, 0.2500, 0.2500], [0.7500, 0.7500, 0.7500], [0.0000, 0.2500, 0.8750], [0.0000, 0.7500, 0.1250], [0.5000, 0.2500, 0.6250], [0.5000, 0.7500, 0.3750]]}

---

{"formula": "SrMg3F", "functional": "meta-GGA SCAN", "state": "single point on PBEsol structure", "e_form_raw_ev_per_atom": -0.683, "cell": [[4.9483, 0.0000, 0.0000], [0.0000, 4.9483, 0.0000], [0.0000, 0.0000, 4.9483]], "species": ["Sr", "Mg", "Mg", "Mg", "F"], "frac_coords": [[0.0000, 0.0000, 0.0000], [0.0000, 0.5000, 0.5000], [0.5000, 0.0000, 0.5000], [0.5000, 0.5000, 0.0000], [0.5000, 0.5000, 0.5000]]}

---

{"formula": "HfFe3Cl", "functional": "meta-GGA SCAN", "state": "single point on PBEsol structure", "e_form_raw_ev_per_atom": 0.604, "cell": [[4.0741, 0.0000, 0.0000], [0.0000, 4.0741, 0.0000], [0.0000, 0.0000, 4.0741]], "species": ["Hf", "Fe", "Fe", "Fe", "Cl"], "frac_coords": [[0.0000, 0.0000, 0.0000], [0.0000, 0.5000, 0.5000], [0.5000, 0.0000, 0.5000], [0.5000, 0.5000, 0.0000], [0.5000, 0.5000, 0.5000]]}

---

{"formula": "La2MnRh", "functional": "meta-GGA SCAN", "state": "single point on PBEsol structure", "e_above_lowest_polymorph_mev_per_atom": 66.7, "cell": [[7.1163, 0.0000, 0.0000], [0.0000, 7.1235, 0.0000], [0.0000, 0.0000, 3.5381]], "species": ["La", "La", "La", "La", "Mn", "Mn", "Rh", "Rh"], "frac_coords": [[0.2500, 0.2500, 0.0000], [0.2500, 0.7500, 0.0000], [0.7500, 0.2500, 0.0000], [0.7500, 0.7500, 0.0000], [0.0000, 0.0000, 0.5000], [0.5000, 0.5000, 0.5000], [0.0000, 0.5000, 0.5000], [0.5000, 0.0000, 0.5000]]}

---

{"formula": "Tb6Al3Si", "functional": "meta-GGA SCAN", "state": "single point on PBEsol structure", "e_form_raw_ev_per_atom": -0.430, "cell": [[-5.7222, 5.7222, 7.5807], [5.7222, -5.7222, 7.5807], [5.7222, 5.7222, -7.5807]], "species": ["Tb", "Tb", "Tb", "Tb", "Tb", "Tb", "Tb", "Tb", "Tb", "Tb", "Tb", "Tb", "Tb", "Tb", "Tb", "Tb", "Tb", "Tb", "Tb", "Tb", "Tb", "Tb", "Tb", "Tb", "Al", "Al", "Al", "Al", "Al", "Al", "Al", "Al", "Al", "Al", "Al", "Al", "Si", "Si", "Si", "Si"], "frac_coords": [[0.0610, 0.9295, 0.2582], [0.0705, 0.3288, 0.1315], [0.1493, 0.6493, 0.5000], [0.1692, 0.3308, 0.5000], [0.1712, 0.4295, 0.8685], [0.1972, 0.9390, 0.8685], [0.3028, 0.1712, 0.7418], [0.3288, 0.1972, 0.2582], [0.3308, 0.8308, 0.1615], [0.3507, 0.8507, 0.5000], [0.4295, 0.5610, 0.2582], [0.4390, 0.6972, 0.8685], [0.5610, 0.3028, 0.1315], [0.5705, 0.4390, 0.7418], [0.6493, 0.1493, 0.5000], [0.6692, 0.1692, 0.8385], [0.6712, 0.8028, 0.7418], [0.6972, 0.8288, 0.2582], [0.8028, 0.0610, 0.1315], [0.8288, 0.5705, 0.1315], [0.8308, 0.6692, 0.5000], [0.8507, 0.3507, 0.5000], [0.9295, 0.6712, 0.8685], [0.9390, 0.0705, 0.7418], [0.0273, 0.8830, 0.5000], [0.1170, 0.6170, 0.1443], [0.1195, 0.6195, 0.7391], [0.3805, 0.1195, 0.5000], [0.3830, 0.5273, 0.5000], [0.4727, 0.9727, 0.8557], [0.5273, 0.0273, 0.1443], [0.6170, 0.4727, 0.5000], [0.6195, 0.8805, 0.5000], [0.8805, 0.3805, 0.2609], [0.8830, 0.3830, 0.8557], [0.9727, 0.1170, 0.5000], [0.0000, 0.0000, 0.0000], [0.2500, 0.2500, 0.0000], [0.5000, 0.5000, 0.0000], [0.7500, 0.7500, 0.0000]]}

---

{"formula": "CaZr2P", "functional": "meta-GGA SCAN", "state": "single point on PBEsol structure", "energy_ev_per_atom": -20.928, "cell": [[3.4397, 0.0000, 0.0000], [0.0000, 3.4397, 0.0000], [0.0000, 0.0000, 7.6550]], "species": ["Ca", "Zr", "Zr", "P"], "frac_coords": [[0.0000, 0.0000, 0.0000], [0.0000, 0.0000, 0.4069], [0.5000, 0.5000, 0.6509], [0.5000, 0.5000, 0.2676]]}